First-principles (PBE-GGA) data for crystalline ZnMoRu2 at its relaxed geometry, as listed in the Alexandria database.

The structure in CIF format:
```
data_ZnMoRu2
_chemical_formula_sum 'Zn1 Mo1 Ru2'
_cell_length_a 2.7534
_cell_length_b 4.0243
_cell_length_c 5.1987
_cell_angle_alpha 90.00
_cell_angle_beta 90.06
_cell_angle_gamma 90.00
_space_group_name_H-M_alt 'P 1 m 1'
_space_group_IT_number 6
loop_
_space_group_symop_operation_xyz
'x,y,z'
'x,-y,z'
loop_
_atom_site_label
_atom_site_fract_x
_atom_site_fract_y
_atom_site_fract_z
Zn1 0.0000 0.0000 0.0000
Mo1 0.4936 0.5000 0.7390
Ru1 0.0048 0.0000 0.4966
Ru2 0.5038 0.5000 0.2191
```

# Zn2MoRu, relaxed, DFT PBE-GGA
data_Zn2MoRu
_chemical_formula_sum 'Zn4 Mo2 Ru2'
_cell_length_a 9.2162
_cell_length_b 2.9221
_cell_length_c 4.5016
_cell_angle_alpha 90.00
_cell_angle_beta 104.52
_cell_angle_gamma 90.00
_space_group_name_H-M_alt 'C 1 2/m 1'
_space_group_IT_number 12
loop_
_space_group_symop_operation_xyz
'x,y,z'
'-x,-y,-z'
'-x,y,-z'
'x,-y,z'
'x+1/2,y+1/2,z'
'-x+1/2,-y+1/2,-z'
'-x+1/2,y+1/2,-z'
'x+1/2,-y+1/2,z'
loop_
_atom_site_label
_atom_site_fract_x
_atom_site_fract_y
_atom_site_fract_z
Zn1 0.2453 0.0000 0.2426
Mo1 0.0000 0.0000 0.5000
Ru1 0.0000 0.5000 0.0000
# Polymorph energy (0 for the lowest one) ... 0.162 eV/atom

First-principles (PBE-GGA) data for crystalline ZnMoRu2 at its relaxed geometry, as listed in the Alexandria database.

The structure in CIF format:
```
data_ZnMoRu2
_chemical_formula_sum 'Zn3 Mo3 Ru6'
_cell_length_a 2.7545
_cell_length_b 2.7545
_cell_length_c 26.6815
_cell_angle_alpha 90.00
_cell_angle_beta 90.00
_cell_angle_gamma 120.00
_space_group_name_H-M_alt 'R 3 m'
_space_group_IT_number 160
_space_group_name_Hall 'R 3 -2"'
loop_
_atom_site_label
_atom_site_fract_x
_atom_site_fract_y
_atom_site_fract_z
Zn1 0.0000 0.0000 0.0000
Mo1 0.0000 0.0000 0.2453
Ru1 0.0000 0.0000 0.4958
Ru2 0.0000 0.0000 0.7490
```

First-principles (PBE-GGA) data for crystalline ZnMoRu2 at its relaxed geometry, as listed in the Alexandria database.

The structure in CIF format:
```
data_ZnMoRu2
_chemical_formula_sum 'Zn1 Mo1 Ru2'
_cell_length_a 4.2633
_cell_length_b 4.2633
_cell_length_c 3.1701
_cell_angle_alpha 90.00
_cell_angle_beta 90.00
_cell_angle_gamma 90.00
_space_group_name_H-M_alt 'P 4/m m m'
_space_group_IT_number 123
_space_group_name_Hall '-P 4 2'
loop_
_atom_site_label
_atom_site_fract_x
_atom_site_fract_y
_atom_site_fract_z
Zn1 0.0000 0.0000 0.0000
Mo1 0.5000 0.5000 0.0000
Ru1 0.0000 0.5000 0.5000
```

First-principles (PBE-GGA) data for crystalline ZnMoRu2 at its relaxed geometry, as listed in the Alexandria database.

The structure in CIF format:
```
data_ZnMoRu2
_chemical_formula_sum 'Zn4 Mo4 Ru8'
_cell_length_a 6.8692
_cell_length_b 6.8692
_cell_length_c 5.5365
_cell_angle_alpha 90.00
_cell_angle_beta 90.00
_cell_angle_gamma 90.00
_space_group_name_H-M_alt 'I -4 2 d'
_space_group_IT_number 122
_space_group_name_Hall 'I -4 2bw'
loop_
_atom_site_label
_atom_site_fract_x
_atom_site_fract_y
_atom_site_fract_z
Zn1 0.0000 0.0000 0.0000
Mo1 0.0000 0.0000 0.5000
Ru1 0.2219 0.7500 0.6250
```

First-principles (PBE-GGA) data for crystalline ZnMoRu2 at its relaxed geometry, as listed in the Alexandria database.

The structure in CIF format:
```
data_ZnMoRu2
_chemical_formula_sum 'Zn2 Mo2 Ru4'
_cell_length_a 3.6971
_cell_length_b 3.6971
_cell_length_c 8.3988
_cell_angle_alpha 90.00
_cell_angle_beta 90.00
_cell_angle_gamma 90.00
_space_group_name_H-M_alt 'I -4 m 2'
_space_group_IT_number 119
_space_group_name_Hall 'I -4 -2'
loop_
_atom_site_label
_atom_site_fract_x
_atom_site_fract_y
_atom_site_fract_z
Zn1 0.0000 0.0000 0.0000
Mo1 0.0000 0.5000 0.7500
Ru1 0.0000 0.0000 0.5000
Ru2 0.0000 0.5000 0.2500
```

First-principles (PBE-GGA) data for crystalline ZnMo2Ru at its relaxed geometry, as listed in the Alexandria database.

The structure in CIF format:
```
data_ZnMo2Ru
_chemical_formula_sum 'Zn2 Mo4 Ru2'
_cell_length_a 3.7387
_cell_length_b 3.7387
_cell_length_c 8.4982
_cell_angle_alpha 90.00
_cell_angle_beta 90.00
_cell_angle_gamma 90.00
_space_group_name_H-M_alt 'I 4/m m m'
_space_group_IT_number 139
_space_group_name_Hall '-I 4 2'
loop_
_atom_site_label
_atom_site_fract_x
_atom_site_fract_y
_atom_site_fract_z
Zn1 0.0000 0.0000 0.0000
Mo1 0.0000 0.5000 0.2500
Ru1 0.0000 0.0000 0.5000
```

First-principles (PBE-GGA) data for crystalline ZnMoRu2 at its relaxed geometry, as listed in the Alexandria database.

The structure in CIF format:
```
data_ZnMoRu2
_chemical_formula_sum 'Zn2 Mo2 Ru4'
_cell_length_a 2.8824
_cell_length_b 4.5191
_cell_length_c 9.0518
_cell_angle_alpha 90.00
_cell_angle_beta 90.00
_cell_angle_gamma 90.00
_space_group_name_H-M_alt 'C m m 2'
_space_group_IT_number 35
loop_
_space_group_symop_operation_xyz
'x,y,z'
'-x,-y,z'
'-x,y,z'
'x,-y,z'
'x+1/2,y+1/2,z'
'-x+1/2,-y+1/2,z'
'-x+1/2,y+1/2,z'
'x+1/2,-y+1/2,z'
loop_
_atom_site_label
_atom_site_fract_x
_atom_site_fract_y
_atom_site_fract_z
Zn1 0.0000 0.0000 0.0000
Mo1 0.0000 0.5000 0.7404
Ru1 0.0000 0.0000 0.4933
Ru2 0.0000 0.5000 0.2427
```

# Zn2MoRu, relaxed, DFT PBE-GGA
data_Zn2MoRu
_chemical_formula_sum 'Zn2 Mo1 Ru1'
_cell_length_a 2.6979
_cell_length_b 4.3406
_cell_length_c 5.1390
_cell_angle_alpha 90.00
_cell_angle_beta 103.27
_cell_angle_gamma 90.00
_space_group_name_H-M_alt 'P 1 2/m 1'
_space_group_IT_number 10
loop_
_space_group_symop_operation_xyz
'x,y,z'
'-x,-y,-z'
'-x,y,-z'
'x,-y,z'
loop_
_atom_site_label
_atom_site_fract_x
_atom_site_fract_y
_atom_site_fract_z
Zn1 0.2037 0.0000 0.2548
Mo1 0.5000 0.5000 0.0000
Ru1 0.0000 0.5000 0.5000
# Polymorph energy (0 for the lowest one) ... 0.174 eV/atom

First-principles (PBE-GGA) data for crystalline ZnMoRu2 at its relaxed geometry, as listed in the Alexandria database.

The structure in CIF format:
```
data_ZnMoRu2
_chemical_formula_sum 'Zn1 Mo1 Ru2'
_cell_length_a 2.6939
_cell_length_b 4.3559
_cell_length_c 4.9642
_cell_angle_alpha 90.00
_cell_angle_beta 94.79
_cell_angle_gamma 90.00
_space_group_name_H-M_alt 'P 1 2/m 1'
_space_group_IT_number 10
loop_
_space_group_symop_operation_xyz
'x,y,z'
'-x,-y,-z'
'-x,y,-z'
'x,-y,z'
loop_
_atom_site_label
_atom_site_fract_x
_atom_site_fract_y
_atom_site_fract_z
Zn1 0.0000 0.0000 0.0000
Mo1 0.5000 0.0000 0.5000
Ru1 0.2400 0.5000 0.7617
```

First-principles (PBE-GGA) data for crystalline ZnMoRu2 at its relaxed geometry, as listed in the Alexandria database.

The structure in CIF format:
```
data_ZnMoRu2
_chemical_formula_sum 'Zn2 Mo2 Ru4'
_cell_length_a 4.8150
_cell_length_b 2.7833
_cell_length_c 8.8422
_cell_angle_alpha 90.00
_cell_angle_beta 100.34
_cell_angle_gamma 90.00
_space_group_name_H-M_alt 'C 1 m 1'
_space_group_IT_number 8
loop_
_space_group_symop_operation_xyz
'x,y,z'
'x,-y,z'
'x+1/2,y+1/2,z'
'x+1/2,-y+1/2,z'
loop_
_atom_site_label
_atom_site_fract_x
_atom_site_fract_y
_atom_site_fract_z
Zn1 0.0000 0.0000 0.0000
Mo1 0.3333 0.5000 0.5007
Ru1 0.2496 0.0000 0.7488
Ru2 0.4162 0.0000 0.2512
```

# Zn2MoRu, relaxed, DFT PBE-GGA
data_Zn2MoRu
_chemical_formula_sum 'Zn6 Mo3 Ru3'
_cell_length_a 2.7703
_cell_length_b 2.7703
_cell_length_c 26.5048
_cell_angle_alpha 90.00
_cell_angle_beta 90.00
_cell_angle_gamma 120.00
_space_group_name_H-M_alt 'R -3 m'
_space_group_IT_number 166
_space_group_name_Hall '-R 3 2"'
loop_
_atom_site_label
_atom_site_fract_x
_atom_site_fract_y
_atom_site_fract_z
Zn1 0.0000 0.0000 0.2472
Mo1 0.0000 0.0000 0.0000
Ru1 0.0000 0.0000 0.5000
# Polymorph energy (0 for the lowest one) ... 0.208 eV/atom

# Zn2MoRu, relaxed, DFT PBE-GGA
data_Zn2MoRu
_chemical_formula_sum 'Zn4 Mo2 Ru2'
_cell_length_a 3.7530
_cell_length_b 3.7530
_cell_length_c 8.2901
_cell_angle_alpha 90.00
_cell_angle_beta 90.00
_cell_angle_gamma 90.00
_space_group_name_H-M_alt 'I 4/m m m'
_space_group_IT_number 139
_space_group_name_Hall '-I 4 2'
loop_
_atom_site_label
_atom_site_fract_x
_atom_site_fract_y
_atom_site_fract_z
Zn1 0.0000 0.5000 0.2500
Mo1 0.0000 0.0000 0.0000
Ru1 0.0000 0.0000 0.5000
# Polymorph energy (0 for the lowest one) ... 0.226 eV/atom

# Zn2MoRu, relaxed, DFT PBE-GGA
data_Zn2MoRu
_chemical_formula_sum 'Zn2 Mo1 Ru1'
_cell_length_a 2.9957
_cell_length_b 2.9957
_cell_length_c 6.5915
_cell_angle_alpha 90.00
_cell_angle_beta 90.00
_cell_angle_gamma 90.00
_space_group_name_H-M_alt 'P 4 m m'
_space_group_IT_number 99
loop_
_space_group_symop_operation_xyz
'x,y,z'
'-y,x,z'
'-x,-y,z'
'y,-x,z'
'-x,y,z'
'y,x,z'
'x,-y,z'
'-y,-x,z'
loop_
_atom_site_label
_atom_site_fract_x
_atom_site_fract_y
_atom_site_fract_z
Zn1 0.0000 0.0000 0.0000
Zn2 0.5000 0.5000 0.2460
Mo1 0.0000 0.0000 0.5226
Ru1 0.5000 0.5000 0.7460
# Polymorph energy (0 for the lowest one) ... 0.000 eV/atom

First-principles (PBE-GGA) data for crystalline ZnMo2Ru at its relaxed geometry, as listed in the Alexandria database.

The structure in CIF format:
```
data_ZnMo2Ru
_chemical_formula_sum 'Zn3 Mo6 Ru3'
_cell_length_a 2.7732
_cell_length_b 2.7732
_cell_length_c 27.3338
_cell_angle_alpha 90.00
_cell_angle_beta 90.00
_cell_angle_gamma 120.00
_space_group_name_H-M_alt 'R 3 m'
_space_group_IT_number 160
_space_group_name_Hall 'R 3 -2"'
loop_
_atom_site_label
_atom_site_fract_x
_atom_site_fract_y
_atom_site_fract_z
Zn1 0.0000 0.0000 0.0000
Mo1 0.0000 0.0000 0.2488
Mo2 0.0000 0.0000 0.4927
Ru1 0.0000 0.0000 0.7481
```

First-principles (PBE-GGA) data for crystalline ZnMo2Ru at its relaxed geometry, as listed in the Alexandria database.

The structure in CIF format:
```
data_ZnMo2Ru
_chemical_formula_sum 'Zn2 Mo4 Ru2'
_cell_length_a 3.0861
_cell_length_b 4.3882
_cell_length_c 8.9627
_cell_angle_alpha 90.00
_cell_angle_beta 90.00
_cell_angle_gamma 90.00
_space_group_name_H-M_alt 'C m m m'
_space_group_IT_number 65
_space_group_name_Hall '-C 2 2'
loop_
_atom_site_label
_atom_site_fract_x
_atom_site_fract_y
_atom_site_fract_z
Zn1 0.0000 0.0000 0.0000
Mo1 0.0000 0.5000 0.2548
Ru1 0.0000 0.0000 0.5000
```

First-principles (PBE-GGA) data for crystalline ZnMo2Ru at its relaxed geometry, as listed in the Alexandria database.

The structure in CIF format:
```
data_ZnMo2Ru
_chemical_formula_sum 'Zn1 Mo2 Ru1'
_cell_length_a 3.8268
_cell_length_b 3.8268
_cell_length_c 4.0502
_cell_angle_alpha 90.00
_cell_angle_beta 90.00
_cell_angle_gamma 90.00
_space_group_name_H-M_alt 'P 4/m m m'
_space_group_IT_number 123
_space_group_name_Hall '-P 4 2'
loop_
_atom_site_label
_atom_site_fract_x
_atom_site_fract_y
_atom_site_fract_z
Zn1 0.0000 0.0000 0.0000
Mo1 0.0000 0.5000 0.5000
Ru1 0.5000 0.5000 0.0000
```

# Zn2MoRu, relaxed, DFT PBE-GGA
data_Zn2MoRu
_chemical_formula_sum 'Zn2 Mo1 Ru1'
_cell_length_a 4.4012
_cell_length_b 4.4012
_cell_length_c 2.9586
_cell_angle_alpha 90.00
_cell_angle_beta 90.00
_cell_angle_gamma 90.00
_space_group_name_H-M_alt 'P 4/m m m'
_space_group_IT_number 123
_space_group_name_Hall '-P 4 2'
loop_
_atom_site_label
_atom_site_fract_x
_atom_site_fract_y
_atom_site_fract_z
Zn1 0.0000 0.5000 0.0000
Mo1 0.0000 0.0000 0.5000
Ru1 0.5000 0.5000 0.5000
# Polymorph energy (0 for the lowest one) ... 0.309 eV/atom

# Zn2MoRu, relaxed, DFT PBE-GGA
data_Zn2MoRu
_chemical_formula_sum 'Zn4 Mo2 Ru2'
_cell_length_a 3.0247
_cell_length_b 4.3770
_cell_length_c 8.8820
_cell_angle_alpha 90.00
_cell_angle_beta 90.00
_cell_angle_gamma 90.00
_space_group_name_H-M_alt 'I m m m'
_space_group_IT_number 71
_space_group_name_Hall '-I 2 2'
loop_
_atom_site_label
_atom_site_fract_x
_atom_site_fract_y
_atom_site_fract_z
Zn1 0.0000 0.0000 0.2438
Mo1 0.0000 0.5000 0.0000
Ru1 0.0000 0.5000 0.5000
# Polymorph energy (0 for the lowest one) ... 0.182 eV/atom

First-principles (PBE-GGA) data for crystalline ZnMoRu2 at its relaxed geometry, as listed in the Alexandria database.

The structure in CIF format:
```
data_ZnMoRu2
_chemical_formula_sum 'Zn2 Mo2 Ru4'
_cell_length_a 2.9652
_cell_length_b 4.5521
_cell_length_c 8.5876
_cell_angle_alpha 90.00
_cell_angle_beta 90.00
_cell_angle_gamma 90.00
_space_group_name_H-M_alt 'I m m m'
_space_group_IT_number 71
_space_group_name_Hall '-I 2 2'
loop_
_atom_site_label
_atom_site_fract_x
_atom_site_fract_y
_atom_site_fract_z
Zn1 0.0000 0.0000 0.0000
Mo1 0.0000 0.0000 0.5000
Ru1 0.0000 0.5000 0.2497
```

The records above give, respectively, energy relative to the elements values of 50; 134; 132; 42; 552; 61; 123; 286; 146; 161; 34; 180; 199; -28; 143; 225; 138; 281; 154; 156 meV per atom.